Record 1
Density functional theory data (PBE) for a relaxed CsLaH6Pd2 crystal.

Structure (POSCAR):
```
CsLaH6Pd2
1.0
-2.3623 -5.3203 -3.4652
4.1627 1.4757 -5.1369
4.5084 -2.8369 6.0641
H Pd Cs La
12 4 2 2
direct
0.3315 0.6317 0.0332
0.8090 0.6694 0.7869
0.6317 0.3315 0.5332
0.3537 0.9255 0.9015
0.6685 0.3683 0.9668
0.6694 0.8090 0.2869
0.3306 0.1910 0.7131
0.0745 0.6463 0.5985
0.3683 0.6685 0.4668
0.1910 0.3306 0.2131
0.9255 0.3537 0.4015
0.6463 0.0745 0.0985
0.1451 0.4971 0.4047
0.5029 0.8549 0.0953
0.4971 0.1451 0.9047
0.8549 0.5029 0.5953
0.9198 0.0802 0.7500
0.0802 0.9198 0.2500
0.5441 0.4559 0.2500
0.4559 0.5441 0.7500
```

**DFT total energy**: -3.984 eV per atom
**SG**: No. 15

Record 2
Density functional theory data (PBE) for a relaxed LiTl2Si crystal.

Structure (POSCAR):
```
LiTl2Si
1.0
-4.5407 -1.4509 -3.1648
0.5052 -4.9230 -2.8719
0.8364 1.6718 5.4078
Si Li Tl
1 1 2
direct
0.7500 0.2500 0.5000
0.5000 0.5000 0.0000
0.0000 0.0000 0.0000
0.2500 0.7500 0.5000
```

**Energy above the lowest structure with this stoichiometry**: 0.0392 eV per atom
**Formation energy without anion corrections**: 0.181 eV/atom
**SG**: No. 119

Record 3
Density functional theory data (PBE) for a relaxed Li2ZnI crystal.

Structure (POSCAR):
```
Li2ZnI
1.0
5.1315 0.0000 0.0000
0.0000 5.1315 0.0000
2.5657 2.5657 8.4465
I Li Zn
2 4 2
direct
0.0000 0.0000 0.0000
0.7500 0.2500 0.5000
0.1444 0.6250 0.2500
0.3750 0.3944 0.7500
0.6056 0.1250 0.2500
0.8750 0.8556 0.7500
0.2500 0.7500 0.5000
0.5000 0.5000 0.0000
```

**Energy above the lowest structure with this stoichiometry**: 0.0000 eV per atom
**Formation energy without anion corrections**: -0.280 eV/atom
**SG**: No. 122

Record 4
Density functional theory data (PBE) for a relaxed Cs2U2As2P crystal.

Structure (POSCAR):
```
Cs2U2As2P
1.0
5.1788 0.0000 0.0000
0.0000 5.1788 0.0000
-2.5894 -2.5894 9.2281
As P U Cs
2 1 2 2
direct
0.5939 0.5939 0.1877
0.4061 0.4061 0.8123
0.0000 0.0000 0.0000
0.5000 0.0000 0.0000
0.0000 0.5000 0.0000
0.1866 0.1866 0.3732
0.8134 0.8134 0.6268
```

**DFT total energy**: -6.021 eV per atom
**SG**: No. 139

Record 5
Density functional theory data (PBE) for a relaxed VTcSb2As crystal.

Structure (POSCAR):
```
VTcSb2As
1.0
-2.0560 -4.6592 0.2492
4.2890 -1.9035 -0.2021
0.3015 0.1390 5.0879
As Sb V Tc
1 2 1 1
direct
0.5000 0.5000 0.5000
0.0000 0.0000 0.5000
0.5000 0.0000 0.0000
0.0000 0.5000 0.0000
0.0000 0.0000 0.0000
```

**Formation energy without anion corrections**: 0.707 eV/atom
**SG**: No. 123

Record 6
Density functional theory data (PBE) for a relaxed RbBaSe3 crystal.

Structure (POSCAR):
```
RbBaSe3
1.0
5.7555 0.0000 0.0000
0.0000 5.7555 0.0000
0.0000 0.0000 5.7555
Se Rb Ba
3 1 1
direct
0.0000 0.0000 0.5000
0.0000 0.5000 0.0000
0.5000 0.0000 0.0000
0.0000 0.0000 0.0000
0.5000 0.5000 0.5000
```

**Energy above the lowest structure with this stoichiometry**: 0.3266 eV per atom
**Formation energy without anion corrections**: -0.192 eV/atom
**SG**: No. 221